[1]
Computed, not measured: a geometry-optimized ZrOsF3 structure at the GGA-PBE level of DFT.

```
ZrOsF3
1.0
4.3269 0.0000 0.0000
0.0000 4.3269 0.0000
0.0000 0.0000 4.3269
Zr Os F
1 1 3
Direct
0.0000 0.0000 0.0000
0.5000 0.5000 0.5000
0.0000 0.0000 0.5000
0.0000 0.5000 0.0000
0.5000 0.0000 0.0000
```

Results
The calculation puts the formation energy (no corrections) at -1031 meV/atom. For the energy above the most stable polymorph in this dataset, the calculation gives 0 meV per atom.

=====

[2]
Computed, not measured: a geometry-optimized ZrOsF3 structure at the GGA-PBE level of DFT.

```
ZrOsF3
1.0
4.2644 0.0000 0.0000
0.0000 4.2644 0.0000
0.0000 0.0000 4.2644
Zr Os F
1 1 3
Direct
0.0000 0.0000 0.0000
0.5000 0.5000 0.5000
0.0000 0.5000 0.5000
0.5000 0.0000 0.5000
0.5000 0.5000 0.0000
```

Results
The calculation puts the formation energy (no corrections) at -222 meV/atom. For the energy above the most stable polymorph in this dataset, the calculation gives 809 meV per atom.

=====

[3]
Computed, not measured: a geometry-optimized ZrOsF2 structure at the GGA-PBE level of DFT.

```
ZrOsF2
1.0
1.4069 0.8123 7.5300
-1.4069 0.8123 7.5300
0.0000 -1.6246 7.5300
Zr Os F
1 1 2
Direct
0.0000 0.0000 0.0000
0.5000 0.5000 0.5000
0.4053 0.4053 0.4053
0.5947 0.5947 0.5947
```

Results
The calculation puts the formation energy (no corrections) at -989 meV/atom. For the energy above the most stable polymorph in this dataset, the calculation gives 0 meV per atom.

=====

Respective size of the total moment values: 3.000, 1.959, 0.000 μB per formula unit.